Below is a geometry-optimized Ge2PdPb structure, with properties calculated at the GGA-PBE level.

Unit cell a=4.6676 b=4.6676 c=9.1691 alpha=75.25 beta=75.25 gamma=90.00
Closest atoms and distances in Å follow each position.
Atoms (fractional coordinates):
Pd1 0.5000 0.5000 0.0000  4 Ge 2.52
Ge1 0.2330 0.6250 0.2500  2 Pd 2.52, 2 Ge 2.68
Ge2 0.5170 0.1250 0.2500  2 Pd 2.52, 2 Ge 2.68
Pb1 0.0000 0.0000 0.0000  4 Ge 2.95, 4 Pd 3.30
Pd2 0.2500 0.7500 0.5000  4 Ge 2.52
Ge3 0.8750 0.7670 0.7500  2 Pd 2.52, 2 Ge 2.68
Ge4 0.3750 0.4830 0.7500  2 Pd 2.52, 2 Ge 2.68
Pb2 0.7500 0.2500 0.5000  4 Ge 2.95, 4 Pd 3.30

N(E_F) = 2.81 states/eV/cell
density = 8177 kg/m³
formation energy from the elements = 13 kJ/mol of formula units

Below is a geometry-optimized GePdPb structure, with properties calculated at the GGA-PBE level.

Unit cell a=3.4502 b=3.4480 c=12.4806 alpha=90.00 beta=90.00 gamma=120.02
Closest atoms and distances in Å follow each position.
Atoms (fractional coordinates):
Pd1 0.4438 0.8877 0.5000  6 Ge 2.60
Pb1 0.1116 0.2233 0.8324  3 Pd 2.89, 3 Ge 3.18
Pd2 0.4451 0.8902 0.0000  6 Pb 2.89
Ge1 0.7772 0.5544 0.6337  3 Pd 2.60
Pb2 0.1116 0.2233 0.1676  3 Pd 2.89, 3 Ge 3.18
Ge2 0.7772 0.5544 0.3663  3 Pd 2.60

N(E_F) = 3.43 states/eV/cell
density = 9979 kg/m³
formation energy from the elements = -17 kJ/mol of formula units

Below is a geometry-optimized GePd6Pb structure, with properties calculated at the GGA-PBE level.

Unit cell a=4.0449 b=4.0449 c=7.9693 alpha=90.00 beta=90.00 gamma=90.00
Closest atoms and distances in Å follow each position.
Atoms (fractional coordinates):
Pd1 0.5000 0.5000 0.0000  4 Pb 2.86, 8 Pd 2.93
Pd2 0.5000 0.0000 0.7344  8 Pd 2.75-2.93, 2 Ge 2.75, 2 Pb 2.93
Pd3 0.5000 0.0000 0.2656  8 Pd 2.75-2.93, 2 Ge 2.75, 2 Pb 2.93
Pd4 0.0000 0.5000 0.7344  8 Pd 2.75-2.93, 2 Ge 2.75, 2 Pb 2.93
Pb1 0.0000 0.0000 0.0000  12 Pd 2.86-2.93
Pd5 0.5000 0.5000 0.5000  8 Pd 2.75, 4 Ge 2.86
Ge1 0.0000 0.0000 0.5000  12 Pd 2.75-2.86
Pd6 0.0000 0.5000 0.2656  8 Pd 2.75-2.93, 2 Ge 2.75, 2 Pb 2.93

N(E_F) = 2.45 states/eV/cell
relative energy among the computed polymorphs = 0 meV/atom
density = 11696 kg/m³
formation energy from the elements = -253 kJ/mol of formula units